The following is a PBE calculation of a relaxed Si3Te4 crystal, from Alexandria.

Values from the calculation:
- formation energy (no corrections) (eV per formula unit) = 3.44
- E (eV per atom) = -3.628
- symmetry = P6/mmm, No. 191

Lattice parameters (Å, degrees): 5.1740 5.1740 7.6831 90.00 90.00 120.00
With the nearest neighbours (Å) after each atom.
Fractional coordinates of all 7 atoms:
Si 0.0000 0.5000 0.0000  4 Si 2.59
Si 0.5000 0.0000 0.0000  4 Si 2.59
Si 0.5000 0.5000 0.0000  4 Si 2.59
Te 0.0000 0.0000 0.2185  6 Si 3.08, 1 Te 3.36
Te 0.0000 0.0000 0.7815  6 Si 3.08, 1 Te 3.36
Te 0.3333 0.6667 0.5000  3 Te 2.99
Te 0.6667 0.3333 0.5000  3 Te 2.99

The following is a PBE calculation of a relaxed LiNd2Al2Pt5 crystal, from Alexandria.

Values from the calculation:
- E (eV per atom) = -5.771
- symmetry = P4/mbm, No. 127

Lattice parameters (Å, degrees): 10.3844 10.3844 3.3925 90.00 90.00 90.00
With the nearest neighbours (Å) after each atom.
Fractional coordinates of all 20 atoms:
Li 0.0000 0.0000 0.0000  8 Pt 2.75
Li 0.5000 0.5000 0.0000  8 Pt 2.75
Nd 0.1751 0.3249 0.0000  3 Al 2.90-3.18, 6 Pt 3.08-3.24
Nd 0.3249 0.8249 0.0000  3 Al 2.90-3.18, 6 Pt 3.08-3.24
Nd 0.6751 0.1751 0.0000  3 Al 2.90-3.18, 6 Pt 3.08-3.24
Nd 0.8249 0.6751 0.0000  3 Al 2.90-3.18, 6 Pt 3.08-3.24
Al 0.1276 0.6276 0.0000  6 Pt 2.53-2.56
Al 0.3724 0.1276 0.0000  6 Pt 2.53-2.56
Al 0.6276 0.8724 0.0000  6 Pt 2.53-2.56
Al 0.8724 0.3724 0.0000  6 Pt 2.53-2.56
Pt 0.0000 0.5000 0.5000  4 Al 2.53
Pt 0.0604 0.8000 0.5000  2 Al 2.56, 2 Li 2.75
Pt 0.2000 0.0604 0.5000  2 Al 2.56, 2 Li 2.75
Pt 0.3000 0.5604 0.5000  2 Al 2.56, 2 Li 2.75
Pt 0.4396 0.3000 0.5000  2 Al 2.56, 2 Li 2.75
Pt 0.5000 0.0000 0.5000  4 Al 2.53
Pt 0.5604 0.7000 0.5000  2 Al 2.56, 2 Li 2.75
Pt 0.7000 0.4396 0.5000  2 Al 2.56, 2 Li 2.75
Pt 0.8000 0.9396 0.5000  2 Al 2.56, 2 Li 2.75
Pt 0.9396 0.2000 0.5000  2 Al 2.56, 2 Li 2.75

The following is a PBE calculation of a relaxed KLiCd2Ag crystal, from Alexandria.

Values from the calculation:
- E (eV per atom) = -1.477
- symmetry = P4/mmm, No. 123

Lattice parameters (Å, degrees): 5.2088 5.2088 5.0729 90.00 90.00 90.00
With the nearest neighbours (Å) after each atom.
Fractional coordinates of all 5 atoms:
K 0.0000 0.0000 0.0000  8 Cd 3.64, 4 Ag 3.68
Li 0.5000 0.5000 0.5000  2 Ag 2.54, 4 Cd 2.60
Cd 0.0000 0.5000 0.5000  2 Li 2.60
Cd 0.5000 0.0000 0.5000  2 Li 2.60
Ag 0.5000 0.5000 0.0000  2 Li 2.54

The following is a PBE calculation of a relaxed Y2Be6Pt9 crystal, from Alexandria.

Values from the calculation:
- E (eV per atom) = -6.104
- symmetry = P6/mmm, No. 191

Lattice parameters (Å, degrees): 5.5154 5.5154 10.1597 90.00 90.00 120.00
With the nearest neighbours (Å) after each atom.
Fractional coordinates of all 17 atoms:
Y 0.0000 0.0000 0.1894  12 Pt 3.12-3.36, 6 Be 3.19
Y 0.0000 0.0000 0.8106  12 Pt 3.12-3.36, 6 Be 3.19
Be 0.3333 0.6667 0.1657  6 Pt 2.32-2.33
Be 0.3333 0.6667 0.5000  6 Pt 2.32
Be 0.3333 0.6667 0.8343  6 Pt 2.32-2.33
Be 0.6667 0.3333 0.1657  6 Pt 2.32-2.33
Be 0.6667 0.3333 0.5000  6 Pt 2.32
Be 0.6667 0.3333 0.8343  6 Pt 2.32-2.33
Pt 0.0000 0.5000 0.0000  4 Be 2.32
Pt 0.0000 0.5000 0.3337  4 Be 2.32-2.33
Pt 0.0000 0.5000 0.6663  4 Be 2.32-2.33
Pt 0.5000 0.0000 0.0000  4 Be 2.32
Pt 0.5000 0.0000 0.3337  4 Be 2.32-2.33
Pt 0.5000 0.0000 0.6663  4 Be 2.32-2.33
Pt 0.5000 0.5000 0.0000  4 Be 2.32
Pt 0.5000 0.5000 0.3337  4 Be 2.32-2.33
Pt 0.5000 0.5000 0.6663  4 Be 2.32-2.33

The following is a PBE calculation of a relaxed TiCrCoSi crystal, from Alexandria.

Values from the calculation:
- formation energy (no corrections) (eV per formula unit) = -1.65
- E (eV per atom) = -7.924
- symmetry = F-43m, No. 216

Lattice parameters (Å, degrees): 4.0956 4.0956 4.0956 60.00 60.00 60.00
With the nearest neighbours (Å) after each atom.
Fractional coordinates of all 4 atoms:
Ti 0.0000 0.0000 0.0000  4 Cr 2.51, 4 Co 2.51
Cr 0.7500 0.7500 0.7500  4 Si 2.51, 4 Ti 2.51
Co 0.2500 0.2500 0.2500  4 Si 2.51, 4 Ti 2.51
Si 0.5000 0.5000 0.5000  4 Cr 2.51, 4 Co 2.51

The following is a PBE calculation of a relaxed TaIr3 crystal, from Alexandria.

Values from the calculation:
- E (eV per atom) = -9.998
- symmetry = Imm2, No. 44

Lattice parameters (Å, degrees): 5.2728 5.2728 5.2728 148.97 64.18 125.36
With the nearest neighbours (Å) after each atom.
Fractional coordinates of all 4 atoms:
Ta 0.0000 0.0000 0.0000  10 Ir 2.76-2.82, 2 Ta 2.82
Ir 0.0849 0.3347 0.7502  9 Ir 2.75-2.82, 3 Ta 2.76
Ir 0.4948 0.9948 0.5000  8 Ir 2.75-2.82, 4 Ta 2.78-2.82
Ir 0.5844 0.3347 0.2498  9 Ir 2.75-2.82, 3 Ta 2.76

The following is a PBE calculation of a relaxed InRhSN2 crystal, from Alexandria.

Values from the calculation:
- formation energy (no corrections) (eV per formula unit) = 9.11
- E (eV per atom) = -4.353
- symmetry = P4/mmm, No. 123

Lattice parameters (Å, degrees): 4.0900 4.0900 5.4635 90.00 90.00 90.00
With the nearest neighbours (Å) after each atom.
Fractional coordinates of all 5 atoms:
In 0.0000 0.0000 0.0000  4 N 2.04
Rh 0.5000 0.5000 0.5000  4 S 2.89
S 0.0000 0.0000 0.5000  2 In 2.73, 4 Rh 2.89
N 0.0000 0.5000 0.0000  2 In 2.04
N 0.5000 0.0000 0.0000  2 In 2.04

The following is a PBE calculation of a relaxed Pa2Ti2Ni15 crystal, from Alexandria.

Values from the calculation:
- E (eV per atom) = -6.744
- symmetry = R-3m, No. 166

Lattice parameters (Å, degrees): 6.3160 6.3160 6.3160 81.70 81.70 81.70
With the nearest neighbours (Å) after each atom.
Fractional coordinates of all 19 atoms:
Pa 0.1529 0.1529 0.1529  12 Ni 2.86-3.11, 1 Ti 3.06
Pa 0.8471 0.8471 0.8471  12 Ni 2.86-3.11, 1 Ti 3.06
Ti 0.3996 0.3996 0.3996  1 Ti 2.49, 6 Ni 2.52-2.58
Ti 0.6004 0.6004 0.6004  1 Ti 2.49, 6 Ni 2.52-2.58
Ni 0.0000 0.5000 0.5000  8 Ni 2.40-2.44, 2 Ti 2.52
Ni 0.1556 0.1556 0.6603  8 Ni 2.37-2.54, 1 Ti 2.58
Ni 0.1556 0.6603 0.1556  8 Ni 2.37-2.54, 1 Ti 2.58
Ni 0.1903 0.5000 0.8097  8 Ni 2.44-2.56
Ni 0.1903 0.8097 0.5000  8 Ni 2.44-2.56
Ni 0.3397 0.8444 0.8444  8 Ni 2.37-2.54, 1 Ti 2.58
Ni 0.5000 0.0000 0.5000  8 Ni 2.40-2.44, 2 Ti 2.52
Ni 0.5000 0.1903 0.8097  8 Ni 2.44-2.56
Ni 0.5000 0.5000 0.0000  8 Ni 2.40-2.44, 2 Ti 2.52
Ni 0.5000 0.8097 0.1903  8 Ni 2.44-2.56
Ni 0.6603 0.1556 0.1556  8 Ni 2.37-2.54, 1 Ti 2.58
Ni 0.8097 0.1903 0.5000  8 Ni 2.44-2.56
Ni 0.8097 0.5000 0.1903  8 Ni 2.44-2.56
Ni 0.8444 0.3397 0.8444  8 Ni 2.37-2.54, 1 Ti 2.58
Ni 0.8444 0.8444 0.3397  8 Ni 2.37-2.54, 1 Ti 2.58

The following is a PBE calculation of a relaxed NpIn6Au12 crystal, from Alexandria.

Values from the calculation:
- E (eV per atom) = -3.696
- symmetry = R-3m, No. 166

Lattice parameters (Å, degrees): 7.8315 7.8315 7.8315 105.48 105.48 105.48
With the nearest neighbours (Å) after each atom.
Fractional coordinates of all 19 atoms:
Np 0.0000 0.0000 0.0000  6 Au 3.03
In 0.2944 0.2944 0.6970  8 Au 2.81-3.04
In 0.2944 0.6970 0.2944  8 Au 2.81-3.04
In 0.3030 0.7056 0.7056  8 Au 2.81-3.04
In 0.6970 0.2944 0.2944  8 Au 2.81-3.04
In 0.7056 0.3030 0.7056  8 Au 2.81-3.04
In 0.7056 0.7056 0.3030  8 Au 2.81-3.04
Au 0.1068 0.3489 0.3489  4 Au 2.89-3.02, 4 In 2.93-3.04, 1 Np 3.03
Au 0.1128 0.5000 0.8871  4 In 2.81-2.89, 3 Au 2.81-2.89
Au 0.1128 0.8871 0.5000  4 In 2.81-2.89, 3 Au 2.81-2.89
Au 0.3489 0.1068 0.3489  4 Au 2.89-3.02, 4 In 2.93-3.04, 1 Np 3.03
Au 0.3489 0.3489 0.1068  4 Au 2.89-3.02, 4 In 2.93-3.04, 1 Np 3.03
Au 0.5000 0.1128 0.8872  4 In 2.81-2.89, 3 Au 2.81-2.89
Au 0.5000 0.8872 0.1128  4 In 2.81-2.89, 3 Au 2.81-2.89
Au 0.6511 0.6511 0.8932  4 Au 2.89-3.02, 4 In 2.93-3.04, 1 Np 3.03
Au 0.6511 0.8932 0.6511  4 Au 2.89-3.02, 4 In 2.93-3.04, 1 Np 3.03
Au 0.8871 0.1128 0.5000  4 In 2.81-2.89, 3 Au 2.81-2.89
Au 0.8871 0.5000 0.1128  4 In 2.81-2.89, 3 Au 2.81-2.89
Au 0.8932 0.6511 0.6511  4 Au 2.89-3.02, 4 In 2.93-3.04, 1 Np 3.03

The following is a PBE calculation of a relaxed TbDyCoGe crystal, from Alexandria.

Values from the calculation:
- E (eV per atom) = -5.632
- symmetry = F-43m, No. 216

Lattice parameters (Å, degrees): 4.9227 4.9227 4.9227 60.00 60.00 60.00
With the nearest neighbours (Å) after each atom.
Fractional coordinates of all 4 atoms:
Tb 0.0000 0.0000 0.0000  4 Co 3.01, 4 Ge 3.01
Dy 0.5000 0.5000 0.5000  4 Co 3.01, 4 Ge 3.01
Co 0.7500 0.7500 0.7500  4 Dy 3.01, 4 Tb 3.01
Ge 0.2500 0.2500 0.2500  4 Dy 3.01, 4 Tb 3.01

The following is a PBE calculation of a relaxed ScP2Pt crystal, from Alexandria.

Values from the calculation:
- E (eV per atom) = -6.089
- symmetry = F-43m, No. 216

Lattice parameters (Å, degrees): 4.5247 4.5247 4.5247 60.00 60.00 60.00
With the nearest neighbours (Å) after each atom.
Fractional coordinates of all 4 atoms:
Sc 0.0000 0.0000 0.0000  4 Pt 2.77, 4 P 2.77
P 0.2500 0.2500 0.2500  4 P 2.77, 4 Sc 2.77
P 0.5000 0.5000 0.5000  4 Pt 2.77, 4 P 2.77
Pt 0.7500 0.7500 0.7500  4 P 2.77, 4 Sc 2.77

The following is a PBE calculation of a relaxed Ag2AuSe crystal, from Alexandria.

Values from the calculation:
- formation energy (no corrections) (eV per formula unit) = 0.26
- E (eV per atom) = -3.050
- symmetry = P2/m, No. 10

Lattice parameters (Å, degrees): 2.9640 4.0503 6.3365 90.00 90.18 90.00
With the nearest neighbours (Å) after each atom.
Fractional coordinates of all 4 atoms:
Ag 0.0020 0.0000 0.2377  4 Au 2.93, 3 Ag 2.96-3.01, 4 Se 3.00-3.02
Ag 0.9980 0.0000 0.7623  4 Au 2.93, 3 Ag 2.96-3.01, 4 Se 3.00-3.02
Au 0.5000 0.5000 0.0000  8 Ag 2.93, 2 Au 2.96, 2 Se 3.17
Se 0.5000 0.5000 0.5000  2 Se 2.96, 8 Ag 3.00-3.02, 2 Au 3.17